*w*
First-principles (PBE) data for an optimized crystal structure of SmHo2C, as listed in the Alexandria database.

Structure (CIF):
```
data_SmHo2C
_cell_length_a 3.5664
_cell_length_b 3.5664
_cell_length_c 27.7035
_cell_angle_alpha 90.00
_cell_angle_beta 90.00
_cell_angle_gamma 120.00
_symmetry_space_group_name_H-M 'R -3 m'
_symmetry_Int_Tables_number 166
_symmetry_space_group_name_Hall '-R 3 2"'
loop_
_atom_site_label
_atom_site_type_symbol
_atom_site_fract_x
_atom_site_fract_y
_atom_site_fract_z
Sm1 Sm 0.0000 0.0000 0.0000
Ho1 Ho 0.0000 0.0000 0.2153
C1 C 0.0000 0.0000 0.5000
```

***

*x*
First-principles (PBE) data for an optimized crystal structure of SmHo2C, as listed in the Alexandria database.

Structure (CIF):
```
data_SmHo2C
_cell_length_a 3.5779
_cell_length_b 3.5779
_cell_length_c 9.1337
_cell_angle_alpha 90.00
_cell_angle_beta 90.00
_cell_angle_gamma 120.00
_symmetry_space_group_name_H-M 'P -3 m 1'
_symmetry_Int_Tables_number 164
_symmetry_space_group_name_Hall '-P 3 2"'
loop_
_atom_site_label
_atom_site_type_symbol
_atom_site_fract_x
_atom_site_fract_y
_atom_site_fract_z
Sm1 Sm 0.0000 0.0000 0.0000
Ho1 Ho 0.3333 0.6667 0.6470
C1 C 0.0000 0.0000 0.5000
```

***

Pick the most stable structure from those above. Pick: *x*